No. 1
## PrDyYCd (PBE)

Data for a relaxed structure of PrDyYCd.

abc: 5.528 5.528 5.528
angles: 60.00 60.00 60.00
Fractional positions:
Pr  0.000  0.000  0.000
Dy  0.250  0.250  0.250
Y  0.500  0.500  0.500
Cd  0.750  0.750  0.750

Summary:
* density of states at the Fermi level: 5.64 states/eV/cell
* E: -16.88 eV/cell
* ΔH_f (0 K): -0.03 eV per atom
* excess energy over the best structure of this formula in the dataset: 49 kJ/mol of formula units

***

No. 2
## PrDyZnCd (PBE)

Data for a relaxed structure of PrDyZnCd.

abc: 5.285 5.285 5.285
angles: 60.00 60.00 60.00
Fractional positions:
Pr  0.000  0.000  0.000
Dy  0.500  0.500  0.500
Zn  0.750  0.750  0.750
Cd  0.250  0.250  0.250

Summary:
* density of states at the Fermi level: 4.97 states/eV/cell
* E: -12.74 eV/cell
* ΔH_f (0 K): -0.29 eV per atom
* excess energy over the best structure of this formula in the dataset: 12 kJ/mol of formula units

***

No. 3
## PrDyZnCd (PBE)

Data for a relaxed structure of PrDyZnCd.

abc: 3.665 3.665 7.689
angles: 90.00 90.00 90.00
Fractional positions:
Pr  0.000  0.000  0.000
Dy  0.000  0.000  0.461
Zn  0.500  0.500  0.251
Cd  0.500  0.500  0.713

Summary:
* density of states at the Fermi level: 4.20 states/eV/cell
* E: -12.86 eV/cell
* ΔH_f (0 K): -0.32 eV per atom
* excess energy over the best structure of this formula in the dataset: 0 kJ/mol of formula units

***

No. 4
## DyCdPt (PBE)

Data for a relaxed structure of DyCdPt.

abc: 5.061 5.061 5.813
angles: 90.00 90.00 120.00
Fractional positions:
Dy  0.333  0.667  0.250
Dy  0.667  0.333  0.750
Cd  0.000  0.000  0.000
Cd  0.000  0.000  0.500
Pt  0.333  0.667  0.750
Pt  0.667  0.333  0.250

Summary:
* density of states at the Fermi level: 3.02 states/eV/cell
* E: -28.20 eV/cell
* ΔH_f (0 K): -0.85 eV per atom

***

No. 5
## Dy4Cd2Pt (PBE)

Data for a relaxed structure of Dy4Cd2Pt.

abc: 8.871 8.871 8.871
angles: 33.57 33.57 33.57
Fractional positions:
Dy  0.121  0.121  0.121
Dy  0.372  0.372  0.372
Dy  0.628  0.628  0.628
Dy  0.879  0.879  0.879
Cd  0.245  0.245  0.245
Cd  0.755  0.755  0.755
Pt  0.000  0.000  0.000

Summary:
* density of states at the Fermi level: 5.23 states/eV/cell
* E: -29.04 eV/cell
* ΔH_f (0 K): -0.39 eV per atom

***

No. 6
## DyCdPt2 (PBE)

Data for a relaxed structure of DyCdPt2.

abc: 3.587 3.587 6.030
angles: 90.00 90.00 90.00
Fractional positions:
Dy  0.000  0.000  0.000
Cd  0.000  0.000  0.500
Pt  0.500  0.500  0.258
Pt  0.500  0.500  0.742

Summary:
* density of states at the Fermi level: 0.93 states/eV/cell
* E: -21.00 eV/cell
* ΔH_f (0 K): -0.85 eV per atom

***

No. 7
## Dy3CdPt2 (PBE)

Data for a relaxed structure of Dy3CdPt2.

abc: 7.898 7.898 3.587
angles: 90.00 90.00 142.65
Fractional positions:
Dy  0.000  0.000  0.000
Dy  0.323  0.677  0.000
Dy  0.677  0.323  0.000
Cd  0.500  0.500  0.500
Pt  0.158  0.842  0.500
Pt  0.842  0.158  0.500

Summary:
* density of states at the Fermi level: 4.05 states/eV/cell
* E: -32.29 eV/cell
* ΔH_f (0 K): -0.91 eV per atom

***

No. 8
## DyCdPt2 (PBE)

Data for a relaxed structure of DyCdPt2.

abc: 4.620 4.620 3.636
angles: 90.00 90.00 90.00
Fractional positions:
Dy  0.000  0.000  0.000
Cd  0.500  0.500  0.000
Pt  0.000  0.500  0.500
Pt  0.500  0.000  0.500

Summary:
* density of states at the Fermi level: 0.90 states/eV/cell
* E: -20.83 eV/cell
* ΔH_f (0 K): -0.81 eV per atom